A relaxed ScMn2In crystal. Source: Alexandria via LeMat-Bulk, functional PBE-GGA.

Total magnetization: 1.481 μB/atom
ΔE_f: 106 meV/atom

Lattice parameters (Å, degrees): 4.4649 2.9969 10.7086 90.00 90.00 90.00
With the nearest neighbours (Å) after each atom.
Space group Amm2 (No. 38)
Asymmetric unit:
Sc 0.0000 0.0000 0.0000  7 Mn 2.84-2.94, 2 Sc 3.00
Mn 0.0000 0.0000 0.2744  2 Mn 2.60, 2 Sc 2.84
Mn 0.5000 0.0000 0.3988  2 Mn 2.60, 3 In 2.87-2.90, 4 Sc 2.90
In 0.5000 0.0000 0.6665  7 Mn 2.87-2.93, 2 In 3.00